Entry from the Alexandria database: CeHI after structural relaxation (GGA-PBE).

extended XYZ file:
```
12
Lattice="4.915 0.000 0.000 0.000 4.915 0.000 0.000 0.000 12.482" Properties=species:S:1:pos:R:3 pbc="T T T"
Ce 0.000 0.000 2.110
Ce 0.000 0.000 10.371
Ce 2.457 2.457 4.131
Ce 2.457 2.457 8.351
H 0.000 2.457 3.120
H 0.000 2.457 9.361
H 2.457 0.000 3.120
H 2.457 0.000 9.361
I 0.000 2.457 0.000
I 0.000 2.457 6.241
I 2.457 0.000 0.000
I 2.457 0.000 6.241
```

Computed properties:
crystal system	tetragonal
symmetry	No. 139
total energy	-4.094	eV/atom